A geometry-optimized TlPbW2 structure. Source: Alexandria via LeMat-Bulk, functional PBE.

Calculated values
Crystal system = tetragonal
Space group = P4mm
E above lowest polymorph = 6 meV per atom

Cell lengths 3.271, 3.271, 8.628 Å; angles 90.00, 90.00, 90.00 degrees
Fractional positions:
W 0.000 0.000 0.053
W 0.500 0.500 0.197
Pb 0.000 0.000 0.448
Tl 0.500 0.500 0.802


A geometry-optimized Tl2PbW structure. Source: Alexandria via LeMat-Bulk, functional PBE.

Calculated values
Crystal system = cubic
Space group = F-43m
E above lowest polymorph = 465 meV per atom

Cell lengths 5.265, 5.265, 5.265 Å; angles 60.00, 60.00, 60.00 degrees
Last column: magnetic moment on the atom in μB.
Fractional positions:
Tl 0.250 0.250 0.250  -0.01
Tl 0.000 0.000 0.000  0.01
W 0.750 0.750 0.750  2.19
Pb 0.500 0.500 0.500  -0.04


A geometry-optimized TlPbW2 structure. Source: Alexandria via LeMat-Bulk, functional PBE.

Calculated values
Crystal system = tetragonal
Space group = I4/mmm
E above lowest polymorph = 826 meV per atom

Cell lengths 5.526, 5.526, 5.526 Å; angles 135.69, 135.69, 64.46 degrees
Fractional positions:
Tl 0.750 0.250 0.500
Pb 0.250 0.750 0.500
W 0.000 0.000 0.000
W 0.500 0.500 0.000


A geometry-optimized TlPbW2 structure. Source: Alexandria via LeMat-Bulk, functional PBE.

Calculated values
Crystal system = orthorhombic
Space group = Cmmm
E above lowest polymorph = 660 meV per atom

Cell lengths 3.019, 3.019, 9.582 Å; angles 90.00, 90.00, 113.15 degrees
Fractional positions:
Pb 0.500 0.500 0.250
Tl 0.500 0.500 0.750
W 0.000 0.000 0.500
W 0.000 0.000 0.000


| no. | ΔE_f (eV per atom) | E_tot (eV per atom) |
| --- | --- | --- |
| 1 | 0.59 | -7.4026 |
| 2 | 1.14 | -4.2112 |
| 3 | 1.41 | -6.5824 |
| 4 | 1.25 | -6.7490 |